This record from Alexandria via LeMat-Bulk describes Co2RuPb after structural relaxation. The functional is PBE.

VASP energy	-6.293	eV/atom
spin magnetization	3.62	μB per formula unit
mass density	12.06	g/cm3

abc: 4.1127 4.1127 6.9405
angles: 90.00 90.00 90.00
Space group I4/mmm (No. 139)
Symmetry-distinct sites (fractional):
Co: 0.0000 0.5000 0.2500 (multiplicity 4)
Ru: 0.0000 0.0000 0.0000 (multiplicity 2)
Pb: 0.0000 0.0000 0.5000 (multiplicity 2)